No. 1
VASP calculation (PBE-GGA) on a relaxed Pm2PrGe crystal.

## Properties
**E above lowest polymorph**: 0.015 eV per atom
**Calculated volume**: 111 Å³/cell
**Formation energy**: -0.341 eV per atom
**Mass density**: 7.54 g/cm3

Lattice parameters (Å, degrees): 4.816 4.816 4.784 90.00 90.00 90.00
Space group P4/mmm (No. 123)
Inequivalent atoms, fractional coordinates:
Pm  0.000  0.500  0.000 x2
Pr  0.000  0.000  0.500 x1
Ge  0.500  0.500  0.500 x1

=====

No. 2
VASP calculation (PBE-GGA) on a relaxed MgMnBr crystal.

## Properties
**ΔE_f (raw)**: -0.044 eV/atom
**E above lowest polymorph**: 0.000 eV per atom
**Calculated volume**: 65 Å³/cell
**Mass density**: 4.09 g/cm3

Lattice parameters (Å, degrees): 3.4784 3.4784 6.1731 90.00 90.00 120.00
Space group P3m1 (No. 156)
Inequivalent atoms, fractional coordinates:
Mg  0.0000  0.0000  0.0000 x1
Mn  0.6667  0.3333  0.3249 x1
Br  0.3333  0.6667  0.6287 x1

=====

No. 3
VASP calculation (PBE-GGA) on a relaxed SmDy12Y3 crystal.

## Properties
**Calculated volume**: 508 Å³/cell
**Formation energy**: 0.020 eV per atom
**Mass density**: 7.74 g/cm3

Lattice parameters (Å, degrees): 5.027 5.027 20.093 90.00 90.00 90.00
Space group P4/mmm (No. 123)
Inequivalent atoms, fractional coordinates:
Sm  0.000  0.000  0.000 x1
Dy  0.000  0.500  0.125 x4
Dy  0.000  0.500  0.375 x4
Dy  0.500  0.500  0.000 x1
Dy  0.500  0.500  0.251 x2
Dy  0.500  0.500  0.500 x1
Y  0.000  0.000  0.250 x2
Y  0.000  0.000  0.500 x1

=====

No. 4
VASP calculation (PBE-GGA) on a relaxed La2Dy3Tm7 crystal.

## Properties
**E above lowest polymorph**: 0.000 eV per atom
**Calculated volume**: 382 Å³/cell
**Formation energy**: 0.094 eV per atom
**Mass density**: 8.47 g/cm3

Lattice parameters (Å, degrees): 6.315 3.499 17.377 90.00 96.23 90.00
Space group P2/m (No. 10)
Inequivalent atoms, fractional coordinates:
La  0.059  0.000  0.174 x2
Dy  0.453  0.500  0.843 x2
Dy  0.500  0.000  0.500 x1
Tm  0.000  0.500  0.500 x1
Tm  0.228  0.000  0.665 x2
Tm  0.256  0.000  0.999 x2
Tm  0.278  0.500  0.339 x2

=====

No. 5
VASP calculation (PBE-GGA) on a relaxed SmGdHoZn crystal.

## Properties
**Calculated volume**: 439 Å³/cell
**Formation energy**: 0.028 eV per atom
**Mass density**: 8.15 g/cm3

Lattice parameters (Å, degrees): 7.598 7.598 7.598 90.00 90.00 90.00
Space group F-43m (No. 216)
Inequivalent atoms, fractional coordinates:
Sm  0.000  0.000  0.000 x4
Gd  0.000  0.000  0.500 x4
Ho  0.250  0.250  0.250 x4
Zn  0.250  0.250  0.750 x4

=====

No. 6
VASP calculation (PBE-GGA) on a relaxed ThZn2Ni9 crystal.

## Properties
**E above lowest polymorph**: 0.000 eV per atom
**Calculated volume**: 313 Å³/cell
**Formation energy**: -0.258 eV per atom
**Mass density**: 9.46 g/cm3

Lattice parameters (Å, degrees): 8.111 8.111 4.755 90.00 90.00 90.00
Space group P4/mbm (No. 127)
Inequivalent atoms, fractional coordinates:
Th  0.000  0.000  0.000 x2
Zn  0.116  0.384  0.000 x4
Ni  0.000  0.500  0.500 x2
Ni  0.065  0.211  0.500 x8
Ni  0.179  0.679  0.243 x8